Record 1
DFT (GGA-PBE) results for a geometry-optimized TbAl4Ru structure.

Calculated values
Its total energy is -5.0795 eV per atom. The magnetic moment comes out at 0.00 μB/atom.

Cell: 6.6286 6.6286 11.0576 Å, 90.00 90.00 90.00°
Last column: nearest neighbours and their distance in Å.
Space group I4/mcm (No. 140)
One atom of each set of equivalent atoms:
Tb: 0.0000 0.0000 0.0000 [4 per cell]  2 Ru 2.76
Al: 0.1490 0.3510 0.1672 [16 per cell]  4 Al 2.63-2.79, 2 Ru 2.69
Ru: 0.0000 0.0000 0.2500 [4 per cell]  8 Al 2.69, 2 Tb 2.76

---

Record 2
DFT (GGA-PBE) results for a geometry-optimized Tb6AlRu2 structure.

Calculated values
Its total energy is -5.9038 eV per atom. The magnetic moment comes out at 0.00 μB/atom.

Cell: 9.3580 9.4045 10.4719 Å, 90.00 90.00 90.00°
Last column: nearest neighbours and their distance in Å.
Space group Immm (No. 71)
One atom of each set of equivalent atoms:
Tb: 0.0000 0.1974 0.2413 [8 per cell]  1 Ru 2.75
Tb: 0.1881 0.5000 0.1701 [8 per cell]  3 Ru 2.74-3.06
Tb: 0.2152 0.3186 0.5000 [8 per cell]  3 Ru 2.94-2.96, 1 Al 3.16
Al: 0.0000 0.0000 0.0000 [2 per cell]  2 Ru 2.95, 8 Tb 3.14-3.16
Al: 0.0000 0.0000 0.5000 [2 per cell]  12 Tb 3.28-3.61
Ru: 0.0000 0.3136 0.0000 [4 per cell]  8 Tb 2.75-3.06, 1 Al 2.95
Ru: 0.0000 0.5000 0.3711 [4 per cell]  1 Ru 2.70, 6 Tb 2.74-2.96

---

Record 3
DFT (GGA-PBE) results for a geometry-optimized TbAl2Ru2 structure.

Calculated values
Its total energy is -6.6156 eV per atom. The magnetic moment comes out at 0.02 μB/atom.

Cell: 4.0182 4.0182 22.2346 Å, 90.00 90.00 90.00°
Last column: nearest neighbours and their distance in Å.
Space group I4/mmm (No. 139)
One atom of each set of equivalent atoms:
Tb: 0.0000 0.0000 0.1262 [4 per cell]  8 Al 3.10-3.45, 8 Ru 3.12-3.41
Al: 0.0000 0.0000 0.3179 [4 per cell]  5 Ru 2.51-2.54
Al: 0.0000 0.5000 0.0000 [4 per cell]  4 Ru 2.52
Ru: 0.0000 0.0000 0.4319 [4 per cell]  5 Al 2.52-2.54
Ru: 0.0000 0.5000 0.2500 [4 per cell]  4 Al 2.51

---

no.,DOS(E_F) (states/eV per atom)
1,0.293
2,0.909
3,0.697